Compound: PmHgPb4
Source: Alexandria via LeMat-Bulk
Functional: PBE-GGA
Structure: relaxed

- Energy of formation: -1.4 kcal/mol of atoms
- Electronic total energy: -3.374 eV per atom
- Fermi-level density of states: 2.7 states/eV/cell
- Space group: F-43m
- Volume: 31.47 Å³ per atom
- Total magnetization: 0.00 Bohr magnetons per cell

Geometry as POSCAR:
```
PmHgPb4
1.0
6.440 0.000 0.000
3.220 5.577 0.000
3.220 1.859 5.258
Pb Hg Pm
4 1 1
Direct
0.626 0.626 0.123
0.626 0.123 0.626
0.123 0.626 0.626
0.626 0.626 0.626
0.250 0.250 0.250
0.000 0.000 0.000
```